# 1
The following is a DFT calculation (PBE) of a geometry-optimized SrGd2Ni structure.

a b c (Å): 3.9375 3.9375 10.8394
angles (deg): 79.54 79.54 60.00
With the nearest neighbours (Å) after each atom.
Fractional positions:
Ni: 0.5000 0.5000 0.5000  6 Gd 2.72
Gd: 0.8803 0.8803 0.3591  3 Ni 2.72
Sr: 0.0000 0.0000 0.0000  2 Gd 3.81, 6 Sr 3.94
Gd: 0.1197 0.1197 0.6409  3 Ni 2.72

energy above the lowest structure with this stoichiometry: 75 meV per atom
density: 5.38 Mg/m³
space group: R-3m
calculated total energy: -8.90 eV per atom
calculated formation energy: 0.004 eV/atom

# 2
The following is a DFT calculation (PBE) of a geometry-optimized HfAg3Pt structure.

a b c (Å): 4.9803 4.9803 4.9803
angles (deg): 90.00 90.00 90.00
With the nearest neighbours (Å) after each atom.
Fractional positions:
Ag: 0.0000 0.0000 0.5000  2 Pt 2.49
Hf: 0.5000 0.5000 0.5000  12 Ag 3.52
Ag: 0.5000 0.0000 0.0000  2 Pt 2.49
Pt: 0.0000 0.0000 0.0000  6 Ag 2.49
Ag: 0.0000 0.5000 0.0000  2 Pt 2.49

energy above the lowest structure with this stoichiometry: 0 meV per atom
density: 9.37 Mg/m³
space group: Pm-3m
calculated total energy: -3.87 eV per atom
calculated formation energy: 1.037 eV/atom

# 3
The following is a DFT calculation (PBE) of a geometry-optimized Co3BAs structure.

a b c (Å): 3.8301 3.8301 3.8301
angles (deg): 90.00 90.00 90.00
With the nearest neighbours (Å) after each atom.
Fractional positions:
Co: 0.5000 0.0000 0.0000  2 B 1.92
As: 0.5000 0.5000 0.5000  12 Co 2.71
Co: 0.0000 0.5000 0.0000  2 B 1.92
Co: 0.0000 0.0000 0.5000  2 B 1.92
B: 0.0000 0.0000 0.0000  6 Co 1.92

energy above the lowest structure with this stoichiometry: 0 meV per atom
density: 7.76 Mg/m³
space group: Pm-3m
calculated total energy: -6.44 eV per atom
calculated formation energy: 0.093 eV/atom